No. 1
PrPa2NiN4: optimized geometry, PBE.

Summary:
**DOS at the Fermi energy**: 3.112 states/eV/f.u.
**Symmetry**: Cmcm (63)
**E_form (uncorrected)**: -1.343 eV per atom
**Volume**: 14.5 Å³/atom
**M_tot**: 0.00 μB per cell

abc: 3.5168 6.0173 11.4602
angles: 90.00 90.00 106.99
With the nearest neighbours (Å) after each atom.
Fractional positions:
Pa (0.6314, 0.2628, 0.0604)  6 N 2.27-2.44
Pa (0.3686, 0.7372, 0.9396)  6 N 2.27-2.44
Pa (0.3686, 0.7372, 0.5604)  6 N 2.27-2.44
Pa (0.6314, 0.2628, 0.4396)  6 N 2.27-2.44
Ni (0.8355, 0.6710, 0.7500)  4 N 2.00-2.14
Ni (0.1645, 0.3290, 0.2500)  4 N 2.00-2.14
Pr (0.8958, 0.7917, 0.2500)  6 N 2.56-2.79
Pr (0.1042, 0.2083, 0.7500)  6 N 2.56-2.79
N (0.2691, 0.5382, 0.3891)  1 Ni 2.00
N (0.7309, 0.4618, 0.8891)  1 Ni 2.00
N (0.2691, 0.5382, 0.1109)  1 Ni 2.00
N (0.0000, 0.0000, 0.0000)  4 Pa 2.42
N (0.5578, 0.1156, 0.2500)  2 Ni 2.14, 2 Pa 2.33
N (0.7309, 0.4618, 0.6109)  1 Ni 2.00
N (0.4422, 0.8844, 0.7500)  2 Ni 2.14, 2 Pa 2.33
N (0.0000, 0.0000, 0.5000)  4 Pa 2.42


No. 2
Pr2PaNiN4: optimized geometry, PBE.

Summary:
**DOS at the Fermi energy**: 4.643 states/eV/f.u.
**Symmetry**: I-42m (121)
**E_form (uncorrected)**: -0.555 eV per atom
**Volume**: 14.3 Å³/atom
**M_tot**: 1.40 μB per cell

abc: 5.9957 5.2990 5.2990
angles: 71.33 55.55 55.55
With the nearest neighbours (Å) after each atom.
Fractional positions:
N (0.0997, 0.3505, 0.0000)  1 Ni 2.04, 1 Pa 2.25
N (0.9003, 0.0000, 0.6495)  1 Ni 2.04, 1 Pa 2.25
N (0.5498, 0.0000, 0.3505)  1 Ni 2.04, 1 Pa 2.25
N (0.4502, 0.6495, 0.0000)  1 Ni 2.04, 1 Pa 2.25
Pr (0.0000, 0.5000, 0.5000)  8 N 2.65-2.81
Pr (0.5000, 0.5000, 0.5000)  8 N 2.65-2.81
Pa (0.0000, 0.0000, 0.0000)  4 N 2.25
Ni (0.5000, 0.0000, 0.0000)  4 N 2.04